VASP calculation (PBE) on a geometry-optimized ScRe2Sb structure.

The calculated density comes out at 12.3 g/cm3. The uncorrected energy is -8.61 eV/atom. As for the uncorrected formation energy: 0.226 eV per atom. Its volume is 18.21 Å³ per atom.

The structure belongs to space group P2/m (No. 10); the cell edges are 3.059, 4.758 and 5.005 Å and the angles 90.00°, 90.71° and 90.00°. The asymmetric unit holds Sc at (0.000, 0.000, 0.000), Re at (0.343, 0.500, 0.771) and Sb at (0.500, 0.000, 0.500).